Compound: Pa2Se4Cl
Source: Alexandria
Functional: PBE
Structure: relaxed

Calculated values
Relative energy among the computed polymorphs (kJ per mole of atoms): 0.00
Uncorrected formation energy (eV per atom): -1.42
Total DFT energy (no corrections) (eV per atom): -6.38

Cell and atoms, written as CIF:
```
data_Pa2Se4Cl
_chemical_formula_sum 'Pa8 Se16 Cl4'
_space_group_name_H-M_alt 'I m a 2'
_space_group_IT_number 46
_space_group_name_Hall 'I 2 -2a'
_cell_length_a 7.9354
_cell_length_b 14.1226
_cell_length_c 7.2525
_cell_angle_alpha 90.00
_cell_angle_beta 90.00
_cell_angle_gamma 90.00
loop_
_atom_site_label
_atom_site_fract_x
_atom_site_fract_y
_atom_site_fract_z
Pa1 0.0000 0.0000 0.0000
Pa2 0.2500 0.1991 0.4098
Se1 0.0090 0.2010 0.1296
Se2 0.2500 0.0037 0.2858
Se3 0.2500 0.1075 0.7681
Cl1 0.2500 0.6071 0.3249
```